Arrangement i

Material: RbCdPd
Method: DFT, GGA-PBE
State: relaxed

a b c (Å): 3.815 3.815 12.477
angles (deg): 90.00 90.00 90.00
Space group I4mm (No. 107)
Asymmetric unit:
Rb 0.000 0.000 0.000 x2
Cd 0.000 0.000 0.269 x2
Pd 0.000 0.000 0.731 x2

---

Arrangement ii

Material: RbCdPd
Method: DFT, GGA-PBE
State: relaxed

a b c (Å): 19.625 4.695 10.896
angles (deg): 90.00 116.40 90.00
Space group C2/m (No. 12)
Asymmetric unit:
Rb 0.062 0.000 0.382 x4
Rb 0.170 0.000 0.060 x4
Cd 0.108 0.500 0.751 x4
Cd 0.232 0.500 0.397 x4
Pd 0.170 0.000 0.726 x4
Pd 0.198 0.500 0.616 x4

---

Arrangement iii

Material: RbCdPd
Method: DFT, GGA-PBE
State: relaxed

a b c (Å): 4.6744 4.6744 5.2695
angles (deg): 90.00 90.00 120.00
Space group P-6m2 (No. 187)
Asymmetric unit:
Rb 0.0000 0.0000 0.0000 x1
Cd 0.6667 0.3333 0.5000 x1
Pd 0.3333 0.6667 0.5000 x1

---

Energies relative to the most stable structure are arrangement i 58; arrangement ii 0; arrangement iii 69, reported in meV/atom.

---

Arrangement i

Material: Cd2RePd
Method: DFT, GGA-PBE
State: relaxed

a b c (Å): 6.568 6.568 6.568
angles (deg): 90.00 90.00 90.00
Space group Fm-3m (No. 225)
Asymmetric unit:
Cd 0.250 0.250 0.250 x8
Re 0.000 0.000 0.000 x4
Pd 0.000 0.000 0.500 x4

---

Arrangement ii

Material: Cd2RePd
Method: DFT, GGA-PBE
State: relaxed

a b c (Å): 7.494 7.494 5.528
angles (deg): 90.00 90.00 90.00
Space group I-42d (No. 122)
Asymmetric unit:
Cd 0.241 0.250 0.125 x8
Re 0.000 0.000 0.500 x4
Pd 0.000 0.000 0.000 x4

---

Energies relative to the most stable structure are arrangement i 0; arrangement ii 315, reported in meV/atom.

---

Arrangement i

Material: Cd2RePd2
Method: DFT, GGA-PBE
State: relaxed

a b c (Å): 7.772 7.772 2.882
angles (deg): 90.00 90.00 90.00
Space group P4/mbm (No. 127)
Asymmetric unit:
Cd 0.168 0.332 0.000 x4
Re 0.000 0.000 0.500 x2
Pd 0.131 0.631 0.500 x4

---

Arrangement ii

Material: Cd2RePd2
Method: DFT, GGA-PBE
State: relaxed

a b c (Å): 3.730 3.730 13.591
angles (deg): 90.00 90.00 90.00
Space group I4/mmm (No. 139)
Asymmetric unit:
Cd 0.000 0.500 0.250 x4
Re 0.000 0.000 0.000 x2
Pd 0.000 0.000 0.407 x4

---

Energies relative to the most stable structure are arrangement i 0; arrangement ii 324, reported in meV/atom.

---

Arrangement i

Material: CdPd2Rh2
Method: DFT, GGA-PBE
State: relaxed

a b c (Å): 7.585 7.585 2.874
angles (deg): 90.00 90.00 90.00
Space group P4/mbm (No. 127)
Asymmetric unit:
Cd 0.000 0.000 0.000 x2
Pd 0.178 0.322 0.500 x4
Rh 0.120 0.620 0.000 x4

---

Arrangement ii

Material: CdPd2Rh2
Method: DFT, GGA-PBE
State: relaxed

a b c (Å): 7.652 7.652 2.818
angles (deg): 90.00 90.00 90.00
Space group P4/mbm (No. 127)
Asymmetric unit:
Cd 0.000 0.000 0.000 x2
Pd 0.126 0.374 0.000 x4
Rh 0.172 0.672 0.500 x4

---

Energies relative to the most stable structure are arrangement i 0; arrangement ii 23, reported in meV/atom.

---

Arrangement i

Material: Cd6Pd2Rh
Method: DFT, GGA-PBE
State: relaxed

a b c (Å): 14.333 6.408 4.539
angles (deg): 90.00 108.10 90.00
Space group C2/m (No. 12)
Asymmetric unit:
Cd 0.000 0.246 0.000 x4
Cd 0.165 0.247 0.664 x8
Pd 0.167 0.500 0.166 x4
Rh 0.000 0.000 0.500 x2

---

Arrangement ii

Material: Cd6Pd2Rh
Method: DFT, GGA-PBE
State: relaxed

a b c (Å): 4.6856 4.6856 8.8618
angles (deg): 90.00 90.00 120.00
Space group P-3m1 (No. 164)
Asymmetric unit:
Cd 0.0000 0.0000 0.1922 x2
Cd 0.3333 0.6667 0.0626 x2
Cd 0.3333 0.6667 0.4073 x2
Pd 0.3333 0.6667 0.7334 x2
Rh 0.0000 0.0000 0.5000 x1

---

Energies relative to the most stable structure are arrangement i 56; arrangement ii 0, reported in meV/atom.

---

Arrangement i

Material: Cd2Pd2Rh
Method: DFT, GGA-PBE
State: relaxed

a b c (Å): 6.992 6.992 3.684
angles (deg): 90.00 90.00 90.00
Space group P4/mbm (No. 127)
Asymmetric unit:
Cd 0.169 0.331 0.000 x4
Pd 0.133 0.633 0.500 x4
Rh 0.000 0.000 0.500 x2

---

Arrangement ii

Material: Cd2Pd2Rh
Method: DFT, GGA-PBE
State: relaxed

a b c (Å): 4.885 4.885 5.047
angles (deg): 90.00 90.00 90.00
Space group P4/mmm (No. 123)
Asymmetric unit:
Cd 0.000 0.000 0.000 x1
Cd 0.500 0.500 0.000 x1
Pd 0.000 0.500 0.500 x2
Rh 0.000 0.000 0.500 x1

---

Energies relative to the most stable structure are arrangement i 0; arrangement ii 740, reported in meV/atom.